Entry from Alexandria: a geometry-optimized Ba2GeTeMo structure (PBE).

Computed properties:
The value obtained for the calculated total energy is -3.861 eV/atom. As for the crystal system: tetragonal. The value obtained for the total magnetization is 4.9 μB/f.u. The value obtained for the formation energy (no corrections) is 0.626 eV/atom. The density of states at the Fermi level comes out at 3.09 states/eV per cell.

abc: 6.3430 6.3430 5.4078
angles: 90.00 90.00 90.00
Space group P4/mmm (No. 123)
One atom of each set of equivalent atoms:
Ba 0.0000 0.5000 0.0000
Ge 0.0000 0.0000 0.0000
Te 0.0000 0.0000 0.5000
Mo 0.5000 0.5000 0.5000

Entry from Alexandria: a geometry-optimized TlF5 structure (PBE).

Computed properties:
The value obtained for the calculated total energy is -3.092 eV/atom. As for the crystal system: monoclinic. The energy above the most stable polymorph in this dataset comes out at 0.0 meV/atom. The value obtained for the total magnetization is 0.1 μB/f.u. The value obtained for the formation energy (no corrections) is -1.138 eV/atom. The density of states at the Fermi level comes out at 0.00 states/eV per cell.

abc: 8.3796 3.2484 7.4794
angles: 90.00 118.33 90.00
Space group Cm (No. 8)
One atom of each set of equivalent atoms:
Tl 0.0000 0.0000 0.0000
F 0.0173 0.5000 0.2115
F 0.0215 0.0000 0.5858
F 0.1965 0.5000 0.0009
F 0.3282 0.5000 0.4485
F 0.3407 0.0000 0.7908

Entry from Alexandria: a geometry-optimized U2ReGe structure (PBE).

Computed properties:
The value obtained for the calculated total energy is -9.799 eV/atom. As for the crystal system: trigonal. The energy above the most stable polymorph in this dataset comes out at 215.4 meV/atom. The value obtained for the total magnetization is 0.0 μB/f.u. The density of states at the Fermi level comes out at 20.34 states/eV per cell.

abc: 2.9846 2.9846 29.4301
angles: 90.00 90.00 120.00
Space group R-3m (No. 166, hexagonal axes)
One atom of each set of equivalent atoms:
U 0.0000 0.0000 0.2462
Re 0.0000 0.0000 0.5000
Ge 0.0000 0.0000 0.0000

Entry from Alexandria: a geometry-optimized RbNbAg2S4 structure (PBE).

Computed properties:
The value obtained for the calculated total energy is -4.836 eV/atom. As for the crystal system: tetragonal. The value obtained for the total magnetization is 0.0 μB/f.u. The value obtained for the formation energy (no corrections) is -0.680 eV/atom.

abc: 6.8157 6.8157 9.0731
angles: 90.00 90.00 90.00
Space group I-42m (No. 121)
One atom of each set of equivalent atoms:
Rb 0.0000 0.0000 0.0000
Nb 0.0000 0.0000 0.5000
Ag 0.0000 0.5000 0.2500
S 0.1926 0.1926 0.3487

Entry from Alexandria: a geometry-optimized ErTlPd2 structure (PBE).

Computed properties:
The value obtained for the calculated total energy is -4.901 eV/atom. As for the crystal system: tetragonal. The value obtained for the total magnetization is 0.0 μB/f.u. The density of states at the Fermi level comes out at 2.06 states/eV per cell.

abc: 4.6431 4.6431 3.7286
angles: 90.00 90.00 90.00
Space group P4/mmm (No. 123)
One atom of each set of equivalent atoms:
Er 0.0000 0.0000 0.0000
Tl 0.5000 0.5000 0.0000
Pd 0.0000 0.5000 0.5000

Entry from Alexandria: a geometry-optimized SrErPt4 structure (PBE).

Computed properties:
The value obtained for the calculated total energy is -6.023 eV/atom. As for the crystal system: cubic. The value obtained for the total magnetization is 0.0 μB/f.u. The density of states at the Fermi level comes out at 25.80 states/eV per cell.

abc: 7.7667 7.7667 7.7667
angles: 90.00 90.00 90.00
Space group F-43m (No. 216)
One atom of each set of equivalent atoms:
Sr 0.0000 0.0000 0.0000
Er 0.2500 0.2500 0.2500
Pt 0.1248 0.1248 0.6248